The following is a DFT calculation (PBE) of MgTi6Pd12 after structural relaxation.

Its density of states at the Fermi level is 14.36 states/eV/f.u. For the energy of formation, the calculation gives -0.560 eV/atom.

The space group is R-3 (No. 148, hexagonal axes) and the conventional cell measures 12.2288, 12.2288 and 6.8594 Å, with angles of 90.00, 90.00 and 120.00 degrees. The inequivalent atoms are Mg at (0.0000, 0.0000, 0.0000), Ti at (0.0218, 0.2635, 0.3468), Pd at (0.0070, 0.1389, 0.6643) and Pd at (0.0639, 0.5604, 0.6718).



The following is a DFT calculation (PBE) of Mg2TiPd after structural relaxation.

Its density of states at the Fermi level is 2.95 states/eV/f.u. For the energy of formation, the calculation gives -0.238 eV/atom.

The space group is P4/mmm (No. 123) and the conventional cell measures 3.0012, 3.0012 and 7.9771 Å, with angles of 90.00, 90.00 and 90.00 degrees. The inequivalent atoms are Mg at (0.0000, 0.0000, 0.2181), Ti at (0.5000, 0.5000, 0.5000) and Pd at (0.5000, 0.5000, 0.0000).



Respective VASP energy values: -121.91 -17.23 eV/f.u..